[1]
VASP calculation (GGA-PBE) on Ca2Sb2As after structural relaxation.

Computed properties:
ΔE_f (raw) (eV per atom): -0.603
DOS at the Fermi energy (states/eV/f.u.): 3.0
Crystal system: tetragonal

CIF file:
```
data_Ca2Sb2As
_chemical_formula_sum 'Ca4 Sb4 As2'
_symmetry_space_group_name_H-M 'P 4/m b m'
_symmetry_Int_Tables_number 127
_symmetry_space_group_name_Hall '-P 4 2ab'
_cell_length_a 7.874
_cell_length_b 7.874
_cell_length_c 4.545
_cell_angle_alpha 90.00
_cell_angle_beta 90.00
_cell_angle_gamma 90.00
loop_
_atom_site_label
_atom_site_fract_x
_atom_site_fract_y
_atom_site_fract_z
_atom_site_occupancy
Ca1 0.167 0.333 0.000 1
Sb1 0.140 0.640 0.500 1
As1 0.000 0.000 0.500 1
```

=====

[2]
VASP calculation (GGA-PBE) on VSn2Sb after structural relaxation.

Computed properties:
ΔE_f (raw) (eV per atom): 0.590
DOS at the Fermi energy (states/eV/f.u.): 4.1
Crystal system: tetragonal

CIF file:
```
data_VSn2Sb
_chemical_formula_sum 'V4 Sn8 Sb4'
_symmetry_space_group_name_H-M 'I -4 2 d'
_symmetry_Int_Tables_number 122
_symmetry_space_group_name_Hall 'I -4 2bw'
_cell_length_a 6.443
_cell_length_b 6.443
_cell_length_c 13.170
_cell_angle_alpha 90.00
_cell_angle_beta 90.00
_cell_angle_gamma 90.00
loop_
_atom_site_label
_atom_site_fract_x
_atom_site_fract_y
_atom_site_fract_z
_atom_site_occupancy
V1 0.000 0.000 0.000 1
Sn1 0.225 0.250 0.125 1
Sb1 0.000 0.000 0.500 1
```

=====

[3]
VASP calculation (GGA-PBE) on DyTa2SiC4 after structural relaxation.

Computed properties:
ΔE_f (raw) (eV per atom): -0.306
DOS at the Fermi energy (states/eV/f.u.): 2.2
Crystal system: orthorhombic

CIF file:
```
data_DyTa2SiC4
_chemical_formula_sum 'Dy4 Ta8 Si4 C16'
_symmetry_space_group_name_H-M 'C m c m'
_symmetry_Int_Tables_number 63
_symmetry_space_group_name_Hall '-C 2c 2'
_cell_length_a 3.202
_cell_length_b 10.992
_cell_length_c 11.016
_cell_angle_alpha 90.00
_cell_angle_beta 90.00
_cell_angle_gamma 90.00
loop_
_atom_site_label
_atom_site_fract_x
_atom_site_fract_y
_atom_site_fract_z
_atom_site_occupancy
Dy1 0.000 0.103 0.250 1
Ta1 0.000 0.370 0.039 1
Si1 0.000 0.164 0.750 1
C1 0.000 0.000 0.000 1
C2 0.000 0.266 0.618 1
C3 0.000 0.428 0.250 1
```

=====

[4]
VASP calculation (GGA-PBE) on CaEr3In2 after structural relaxation.

Computed properties:
Calculated formation energy (eV/atom): -0.206
DOS at the Fermi energy (states/eV/f.u.): 6.6
Crystal system: monoclinic

CIF file:
```
data_CaEr3In2
_chemical_formula_sum 'Ca4 Er12 In8'
_symmetry_space_group_name_H-M 'C 1 2/m 1'
_symmetry_Int_Tables_number 12
_cell_length_a 16.052
_cell_length_b 5.418
_cell_length_c 9.185
_cell_angle_alpha 90.00
_cell_angle_beta 118.38
_cell_angle_gamma 90.00
loop_
_symmetry_equiv_pos_as_xyz
'x,y,z'
'-x,-y,-z'
'-x,y,-z'
'x,-y,z'
'x+1/2,y+1/2,z'
'-x+1/2,-y+1/2,-z'
'-x+1/2,y+1/2,-z'
'x+1/2,-y+1/2,z'
loop_
_atom_site_label
_atom_site_fract_x
_atom_site_fract_y
_atom_site_fract_z
_atom_site_occupancy
Ca1 0.135 0.000 0.180 1
Er1 0.060 0.000 0.711 1
Er2 0.114 0.500 0.539 1
Er3 0.190 0.500 0.989 1
In1 0.026 0.500 0.171 1
In2 0.229 0.000 0.604 1
```

=====

[5]
VASP calculation (GGA-PBE) on TmAgIr after structural relaxation.

Computed properties:
Calculated formation energy (eV/atom): -0.410
DOS at the Fermi energy (states/eV/f.u.): 1.4
Crystal system: triclinic

CIF file:
```
data_TmAgIr
_chemical_formula_sum 'Tm2 Ag2 Ir2'
_symmetry_space_group_name_H-M 'P -1'
_symmetry_Int_Tables_number 2
_cell_length_a 4.993
_cell_length_b 5.107
_cell_length_c 5.448
_cell_angle_alpha 100.22
_cell_angle_beta 93.89
_cell_angle_gamma 118.29
loop_
_symmetry_equiv_pos_as_xyz
'x,y,z'
'-x,-y,-z'
loop_
_atom_site_label
_atom_site_fract_x
_atom_site_fract_y
_atom_site_fract_z
_atom_site_occupancy
Tm1 0.228 0.399 0.196 1
Ag1 0.419 0.918 0.732 1
Ir1 0.093 0.257 0.671 1
```

=====

[6]
VASP calculation (GGA-PBE) on NdScAlTl after structural relaxation.

Computed properties:
Calculated formation energy (eV/atom): -0.299
DOS at the Fermi energy (states/eV/f.u.): 1.5
Crystal system: cubic

CIF file:
```
data_NdScAlTl
_chemical_formula_sum 'Nd4 Sc4 Al4 Tl4'
_symmetry_space_group_name_H-M 'F -4 3 m'
_symmetry_Int_Tables_number 216
_symmetry_space_group_name_Hall 'F -4 2 3'
_cell_length_a 7.354
_cell_length_b 7.354
_cell_length_c 7.354
_cell_angle_alpha 90.00
_cell_angle_beta 90.00
_cell_angle_gamma 90.00
loop_
_atom_site_label
_atom_site_fract_x
_atom_site_fract_y
_atom_site_fract_z
_atom_site_occupancy
Nd1 0.000 0.000 0.000 1
Sc1 0.000 0.000 0.500 1
Al1 0.250 0.250 0.250 1
Tl1 0.250 0.250 0.750 1
```